Density functional theory data (GGA-PBE) for a relaxed La3YTh2As6 crystal.

Values from the calculation:
**M_tot**: 0.00 μB/f.u.
**Formation enthalpy at 0 K**: -1536 meV/atom

Cell lengths 7.423, 7.423, 7.454 Å; angles 99.54, 99.54, 120.04 degrees
Sites, in units of the cell vectors:
La 0.000 0.000 0.000
La 0.333 0.667 0.000
La 0.667 0.333 0.000
Y 0.500 0.500 0.500
Th 0.167 0.833 0.500
Th 0.833 0.167 0.500
As 0.089 0.420 0.261
As 0.249 0.249 0.740
As 0.420 0.089 0.261
As 0.580 0.911 0.739
As 0.751 0.751 0.260
As 0.911 0.580 0.739

=====

Density functional theory data (GGA-PBE) for a relaxed La4YTh3As8 crystal.

Values from the calculation:
**M_tot**: 0.00 μB/f.u.
**Formation enthalpy at 0 K**: -1528 meV/atom

Cell lengths 8.609, 8.609, 8.609 Å; angles 59.77, 59.77, 59.77 degrees
Sites, in units of the cell vectors:
La 0.000 0.000 0.000
La 0.000 0.500 0.500
La 0.500 0.000 0.500
La 0.500 0.500 0.000
Y 0.500 0.500 0.500
Th 0.000 0.000 0.500
Th 0.000 0.500 0.000
Th 0.500 0.000 0.000
As 0.247 0.247 0.247
As 0.249 0.746 0.746
As 0.254 0.254 0.751
As 0.254 0.751 0.254
As 0.746 0.249 0.746
As 0.746 0.746 0.249
As 0.751 0.254 0.254
As 0.753 0.753 0.753

=====

Density functional theory data (GGA-PBE) for a relaxed LaY3Th4As8 crystal.

Values from the calculation:
**M_tot**: 0.00 μB/f.u.
**Formation enthalpy at 0 K**: -1479 meV/atom

Cell lengths 8.426, 8.426, 8.426 Å; angles 60.29, 60.29, 60.29 degrees
Sites, in units of the cell vectors:
La 0.000 0.000 0.000
Y 0.000 0.500 0.500
Y 0.500 0.000 0.500
Y 0.500 0.500 0.000
Th 0.000 0.000 0.500
Th 0.000 0.500 0.000
Th 0.500 0.000 0.000
Th 0.500 0.500 0.500
As 0.252 0.252 0.252
As 0.252 0.252 0.744
As 0.252 0.744 0.252
As 0.256 0.748 0.748
As 0.744 0.252 0.252
As 0.748 0.256 0.748
As 0.748 0.748 0.256
As 0.748 0.748 0.748

=====

Density functional theory data (GGA-PBE) for a relaxed LaY2Th3As6 crystal.

Values from the calculation:
**M_tot**: 0.00 μB/f.u.
**Formation enthalpy at 0 K**: -1482 meV/atom

Cell lengths 7.342, 7.342, 7.306 Å; angles 99.67, 99.67, 119.93 degrees
Sites, in units of the cell vectors:
La 0.000 0.000 0.000
Y 0.333 0.667 0.000
Y 0.667 0.333 0.000
Th 0.165 0.835 0.500
Th 0.500 0.500 0.500
Th 0.835 0.165 0.500
As 0.083 0.423 0.249
As 0.259 0.259 0.754
As 0.423 0.083 0.249
As 0.577 0.917 0.751
As 0.741 0.741 0.246
As 0.917 0.577 0.751

=====

Density functional theory data (GGA-PBE) for a relaxed LaYTh2As4 crystal.

Values from the calculation:
**M_tot**: 0.00 μB/f.u.
**Formation enthalpy at 0 K**: -1482 meV/atom

Cell lengths 7.352, 4.260, 7.373 Å; angles 90.00, 109.59, 90.00 degrees
Sites, in units of the cell vectors:
La 0.000 0.000 0.000
Y 0.000 0.500 0.500
Th 0.500 0.000 0.500
Th 0.500 0.500 0.000
As 0.249 0.000 0.744
As 0.253 0.500 0.256
As 0.747 0.500 0.744
As 0.751 0.000 0.256

=====

Density functional theory data (GGA-PBE) for a relaxed LaY3Th2As6 crystal.

Values from the calculation:
**M_tot**: 0.00 μB/f.u.
**Formation enthalpy at 0 K**: -1516 meV/atom

Cell lengths 9.396, 9.396, 8.398 Å; angles 102.52, 102.52, 25.95 degrees
Sites, in units of the cell vectors:
La 0.000 0.000 0.000
Y 0.000 0.000 0.500
Y 0.335 0.335 0.167
Y 0.665 0.665 0.833
Th 0.334 0.334 0.668
Th 0.666 0.666 0.332
As 0.166 0.166 0.587
As 0.170 0.170 0.081
As 0.499 0.499 0.259
As 0.501 0.501 0.741
As 0.830 0.830 0.919
As 0.834 0.834 0.413

=====

Density functional theory data (GGA-PBE) for a relaxed La2YTh3As6 crystal.

Values from the calculation:
**M_tot**: 0.00 μB/f.u.
**Formation enthalpy at 0 K**: -1491 meV/atom

Cell lengths 9.556, 9.556, 8.538 Å; angles 102.95, 102.95, 25.85 degrees
Sites, in units of the cell vectors:
La 0.166 0.166 0.332
La 0.834 0.834 0.668
Y 0.500 0.500 0.000
Th 0.167 0.167 0.835
Th 0.500 0.500 0.500
Th 0.833 0.833 0.165
As 0.002 0.002 0.755
As 0.335 0.335 0.412
As 0.335 0.335 0.923
As 0.665 0.665 0.077
As 0.665 0.665 0.588
As 0.998 0.998 0.245

=====

Density functional theory data (GGA-PBE) for a relaxed La2ThZrAs4 crystal.

Values from the calculation:
**M_tot**: 0.00 μB/f.u.
**Formation enthalpy at 0 K**: -1395 meV/atom

Cell lengths 7.256, 4.206, 7.348 Å; angles 90.00, 109.27, 90.00 degrees
Sites, in units of the cell vectors:
La 0.000 0.000 0.000
La 0.500 0.500 0.000
Th 0.000 0.500 0.500
Zr 0.500 0.000 0.500
As 0.257 0.000 0.735
As 0.268 0.500 0.272
As 0.732 0.500 0.728
As 0.743 0.000 0.265

=====

Density functional theory data (GGA-PBE) for a relaxed La3TiAs crystal.

Values from the calculation:
**M_tot**: 0.00 μB/f.u.
**Formation enthalpy at 0 K**: 130 meV/atom

Cell lengths 5.339, 5.339, 5.339 Å; angles 90.00, 90.00, 90.00 degrees
Sites, in units of the cell vectors:
La 0.000 0.000 0.500
La 0.000 0.500 0.000
La 0.500 0.000 0.000
Ti 0.000 0.000 0.000
As 0.500 0.500 0.500

=====

Density functional theory data (GGA-PBE) for a relaxed La2TiAs2 crystal.

Values from the calculation:
**M_tot**: 2.02 μB/f.u.
**Formation enthalpy at 0 K**: -996 meV/atom

Cell lengths 7.567, 7.567, 4.351 Å; angles 90.00, 90.00, 90.00 degrees
Sites, in units of the cell vectors:
La 0.160 0.340 0.000
La 0.340 0.840 0.000
La 0.660 0.160 0.000
La 0.840 0.660 0.000
Ti 0.000 0.000 0.500
Ti 0.500 0.500 0.500
As 0.155 0.655 0.500
As 0.345 0.155 0.500
As 0.655 0.845 0.500
As 0.845 0.345 0.500

=====

Density functional theory data (GGA-PBE) for a relaxed La2TiAs4 crystal.

Values from the calculation:
**M_tot**: 0.00 μB/f.u.
**Formation enthalpy at 0 K**: -943 meV/atom

Cell lengths 8.282, 8.282, 8.282 Å; angles 145.72, 145.72, 49.27 degrees
Sites, in units of the cell vectors:
La 0.133 0.133 0.000
La 0.867 0.867 0.000
Ti 0.500 0.500 0.000
As 0.000 0.500 0.500
As 0.329 0.329 0.000
As 0.500 0.000 0.500
As 0.671 0.671 0.000

=====

Density functional theory data (GGA-PBE) for a relaxed LaTiTl2As crystal.

Values from the calculation:
**M_tot**: 0.44 μB/f.u.
**Formation enthalpy at 0 K**: 408 meV/atom

Cell lengths 5.359, 5.359, 5.309 Å; angles 90.00, 90.00, 90.00 degrees
Sites, in units of the cell vectors:
La 0.000 0.000 0.000
Ti 0.000 0.000 0.500
Tl 0.000 0.500 0.500
Tl 0.500 0.000 0.500
As 0.500 0.500 0.000

=====

Density functional theory data (GGA-PBE) for a relaxed La2TiAsW crystal.

Values from the calculation:
**M_tot**: 0.00 μB/f.u.
**Formation enthalpy at 0 K**: 1034 meV/atom

Cell lengths 5.374, 5.374, 4.684 Å; angles 90.00, 90.00, 90.00 degrees
Sites, in units of the cell vectors:
La 0.000 0.500 0.000
La 0.500 0.000 0.000
Ti 0.000 0.000 0.000
As 0.000 0.000 0.500
W 0.500 0.500 0.500

=====

Density functional theory data (GGA-PBE) for a relaxed LaYTiAs2 crystal.

Values from the calculation:
**M_tot**: 2.09 μB/f.u.
**Formation enthalpy at 0 K**: 583 meV/atom

Cell lengths 5.546, 5.546, 4.987 Å; angles 90.00, 90.00, 90.00 degrees
Sites, in units of the cell vectors:
La 0.000 0.000 0.000
Y 0.500 0.500 0.500
Ti 0.000 0.000 0.500
As 0.000 0.500 0.000
As 0.500 0.000 0.000

=====

Density functional theory data (GGA-PBE) for a relaxed LaTiZnAs2 crystal.

Values from the calculation:
**M_tot**: 2.51 μB/f.u.
**Formation enthalpy at 0 K**: 475 meV/atom
**Excess energy over the best structure of this formula in the dataset**: 1031 meV/atom

Cell lengths 4.884, 4.884, 5.288 Å; angles 90.00, 90.00, 90.00 degrees
Sites, in units of the cell vectors:
La 0.000 0.000 0.000
Ti 0.500 0.500 0.000
Zn 0.000 0.000 0.500
As 0.000 0.500 0.500
As 0.500 0.000 0.500

=====

Density functional theory data (GGA-PBE) for a relaxed LaTiZnAs2 crystal.

Values from the calculation:
**M_tot**: 0.00 μB/f.u.
**Formation enthalpy at 0 K**: -555 meV/atom
**Excess energy over the best structure of this formula in the dataset**: 0 meV/atom

Cell lengths 4.922, 4.922, 4.791 Å; angles 90.00, 90.00, 90.00 degrees
Sites, in units of the cell vectors:
La 0.000 0.000 0.000
Ti 0.500 0.500 0.500
Zn 0.500 0.500 0.000
As 0.000 0.500 0.500
As 0.500 0.000 0.500

=====

Density functional theory data (GGA-PBE) for a relaxed LaTlAs2 crystal.

Values from the calculation:
**M_tot**: 0.00 μB/f.u.
**Formation enthalpy at 0 K**: -451 meV/atom
**Excess energy over the best structure of this formula in the dataset**: 217 meV/atom

Cell lengths 5.255, 5.255, 5.255 Å; angles 60.00, 60.00, 60.00 degrees
Sites, in units of the cell vectors:
La 0.000 0.000 0.000
Tl 0.500 0.500 0.500
As 0.250 0.250 0.250
As 0.750 0.750 0.750

=====

Density functional theory data (GGA-PBE) for a relaxed LaTlAs crystal.

Values from the calculation:
**M_tot**: 0.00 μB/f.u.
**Formation enthalpy at 0 K**: -566 meV/atom
**Excess energy over the best structure of this formula in the dataset**: 193 meV/atom

Cell lengths 4.756, 4.756, 4.433 Å; angles 90.00, 90.00, 120.00 degrees
Sites, in units of the cell vectors:
La 0.000 0.000 0.000
Tl 0.667 0.333 0.424
As 0.333 0.667 0.667

=====

Density functional theory data (GGA-PBE) for a relaxed LaTlAs crystal.

Values from the calculation:
**M_tot**: 0.00 μB/f.u.
**Formation enthalpy at 0 K**: -531 meV/atom
**Excess energy over the best structure of this formula in the dataset**: 228 meV/atom

Cell lengths 6.371, 6.371, 6.371 Å; angles 144.75, 144.75, 50.70 degrees
Sites, in units of the cell vectors:
La 0.000 0.000 0.000
Tl 0.713 0.713 0.000
As 0.378 0.378 0.000

=====

Density functional theory data (GGA-PBE) for a relaxed LaTlAs2 crystal.

Values from the calculation:
**M_tot**: 0.00 μB/f.u.
**Formation enthalpy at 0 K**: -506 meV/atom
**Excess energy over the best structure of this formula in the dataset**: 162 meV/atom

Cell lengths 4.492, 4.492, 7.269 Å; angles 112.38, 112.38, 58.68 degrees
Sites, in units of the cell vectors:
La 0.000 0.000 0.000
Tl 0.500 0.500 0.500
As 0.238 0.238 0.753
As 0.762 0.762 0.247

=====

Density functional theory data (GGA-PBE) for a relaxed LaTlAs2 crystal.

Values from the calculation:
**M_tot**: 0.00 μB/f.u.
**Formation enthalpy at 0 K**: -540 meV/atom
**Excess energy over the best structure of this formula in the dataset**: 127 meV/atom

Cell lengths 5.542, 5.542, 5.542 Å; angles 128.80, 128.80, 75.34 degrees
Sites, in units of the cell vectors:
La 0.000 0.000 0.000
Tl 0.500 0.500 0.000
As 0.250 0.750 0.500
As 0.750 0.250 0.500

=====

Density functional theory data (GGA-PBE) for a relaxed La5Tl2As crystal.

Values from the calculation:
**M_tot**: 0.00 μB/f.u.
**Formation enthalpy at 0 K**: -572 meV/atom

Cell lengths 9.003, 12.867, 4.647 Å; angles 90.00, 90.00, 90.00 degrees
Sites, in units of the cell vectors:
La 0.000 0.000 0.000
La 0.149 0.293 0.000
La 0.193 0.569 0.500
La 0.307 0.069 0.500
La 0.351 0.793 0.000
La 0.500 0.500 0.000
La 0.649 0.207 0.000
La 0.693 0.931 0.500
La 0.807 0.431 0.500
La 0.851 0.707 0.000
Tl 0.076 0.823 0.500
Tl 0.424 0.323 0.500
Tl 0.576 0.677 0.500
Tl 0.924 0.177 0.500
As 0.000 0.500 0.000
As 0.500 0.000 0.000

=====

Density functional theory data (GGA-PBE) for a relaxed LaTlAs2 crystal.

Values from the calculation:
**M_tot**: 0.00 μB/f.u.
**Formation enthalpy at 0 K**: -668 meV/atom
**Excess energy over the best structure of this formula in the dataset**: 0 meV/atom

Cell lengths 4.117, 4.117, 6.671 Å; angles 90.00, 90.00, 90.00 degrees
Sites, in units of the cell vectors:
La 0.000 0.000 0.000
Tl 0.000 0.000 0.500
As 0.500 0.500 0.189
As 0.500 0.500 0.811

=====

Density functional theory data (GGA-PBE) for a relaxed LaTl2As crystal.

Values from the calculation:
**M_tot**: 0.00 μB/f.u.
**Formation enthalpy at 0 K**: -360 meV/atom
**Excess energy over the best structure of this formula in the dataset**: 178 meV/atom

Cell lengths 6.914, 6.914, 6.914 Å; angles 101.56, 101.56, 126.82 degrees
Sites, in units of the cell vectors:
La 0.000 0.000 0.000
La 0.750 0.250 0.500
Tl 0.164 0.625 0.039
Tl 0.375 0.414 0.539
Tl 0.586 0.125 0.961
Tl 0.875 0.836 0.461
As 0.250 0.750 0.500
As 0.500 0.500 0.000

=====

Density functional theory data (GGA-PBE) for a relaxed LaTlAs crystal.

Values from the calculation:
**M_tot**: 0.00 μB/f.u.
**Formation enthalpy at 0 K**: -759 meV/atom
**Excess energy over the best structure of this formula in the dataset**: 0 meV/atom

Cell lengths 8.881, 8.881, 8.881 Å; angles 33.97, 33.97, 33.97 degrees
Sites, in units of the cell vectors:
La 0.103 0.103 0.103
La 0.897 0.897 0.897
Tl 0.338 0.338 0.338
Tl 0.662 0.662 0.662
As 0.219 0.219 0.219
As 0.781 0.781 0.781

=====

Density readings, ordered: 7.027, 7.177, 7.538, 7.552, 7.568, 6.926, 7.592, 7.067, 5.887, 6.339, 5.788, 7.302, 7.173, 4.606, 5.291, 5.751, 7.979, 7.995, 8.104, 7.264, 8.136, 7.270, 7.244, 8.739, 7.126 g/cm³
Calculated total energy readings, ordered: -6.87, -6.88, -7.18, -7.15, -7.09, -7.10, -7.03, -6.95, -5.34, -6.41, -6.14, -4.03, -6.04, -5.13, -4.20, -5.23, -4.60, -4.55, -4.51, -4.65, -4.69, -4.82, -4.82, -3.94, -4.74 eV/atom